Record 1
# NdHoSi

NdHoSi after structural relaxation (GGA-PBE, the Alexandria database).

Cell: 11.5778 4.2598 8.2244 Å, 90.00 127.12 90.00°
With the nearest neighbours (Å) after each atom.
Space group C2/m (No. 12)
Inequivalent atoms, fractional coordinates:
Nd (0.0856, 0.0000, 0.3590) (multiplicity 4)  4 Si 3.11-3.13
Ho (0.1782, 0.5000, 0.0768) (multiplicity 4)  3 Si 2.92-3.06
Si (0.1215, 0.5000, 0.6619) (multiplicity 4)  1 Si 2.44

Results
Relative energy among the computed polymorphs   0 kJ/mol of formula units
Energy relative to the elements, uncorrected   -0.506 eV per atom
M_tot   0.081 μB per formula unit

=====

Record 2
# Sr3Co5I12

Sr3Co5I12 after structural relaxation (GGA-PBE, the Alexandria database).

Cell: 17.5613 17.5613 17.5613 Å, 90.00 90.00 90.00°
With the nearest neighbours (Å) after each atom.
Space group Ia-3d (No. 230)
Inequivalent atoms, fractional coordinates:
Sr (0.0000, 0.2500, 0.1250) (multiplicity 24)  8 I 3.43-3.51
Co (0.0000, 0.0000, 0.0000) (multiplicity 16)  6 I 2.82
Co (0.0000, 0.2500, 0.3750) (multiplicity 24)  4 I 2.61
I (0.0322, 0.0542, 0.6474) (multiplicity 96)  2 Co 2.61-2.82

Results
Energy relative to the elements, uncorrected   -0.540 eV per atom
M_tot   11.000 μB per formula unit

=====

Record 3
# TlHgH2

TlHgH2 after structural relaxation (GGA-PBE, the Alexandria database).

Cell: 6.3948 6.3948 6.3948 Å, 90.00 90.00 90.00°
With the nearest neighbours (Å) after each atom.
Space group Fm-3m (No. 225)
Inequivalent atoms, fractional coordinates:
Tl (0.0000, 0.0000, 0.0000) (multiplicity 4)  8 H 2.77
Hg (0.0000, 0.0000, 0.5000) (multiplicity 4)  8 H 2.77
H (0.2500, 0.2500, 0.2500) (multiplicity 8)  4 Hg 2.77, 4 Tl 2.77

Results
Relative energy among the computed polymorphs   234 kJ/mol of formula units
M_tot   0.000 μB per formula unit

=====

Record 4
# Ac2As4Rh3

Ac2As4Rh3 after structural relaxation (GGA-PBE, the Alexandria database).

Cell: 5.8644 16.0839 7.7008 Å, 90.00 90.00 90.00°
With the nearest neighbours (Å) after each atom.
Space group Cmce (No. 64)
Inequivalent atoms, fractional coordinates:
Ac (0.0000, 0.1138, 0.0898) (multiplicity 8)  8 As 3.14-3.33, 4 Rh 3.36-3.41
As (0.0000, 0.1924, 0.4695) (multiplicity 8)  4 Rh 2.64-2.69
As (0.2500, 0.0557, 0.7500) (multiplicity 8)  3 Rh 2.56-2.58
Rh (0.0000, 0.0000, 0.5000) (multiplicity 4)  4 As 2.58
Rh (0.2500, 0.2146, 0.7500) (multiplicity 8)  5 As 2.56-2.69

Results
ΔE_f   -0.82 eV/atom
M_tot   0.000 μB per formula unit

=====

Record 5
# EuThIr2

EuThIr2 after structural relaxation (GGA-PBE, the Alexandria database).

Cell: 7.0782 7.0782 7.0782 Å, 90.00 90.00 90.00°
With the nearest neighbours (Å) after each atom.
Space group Fm-3m (No. 225)
Inequivalent atoms, fractional coordinates:
Eu (0.0000, 0.0000, 0.0000) (multiplicity 4)  8 Ir 3.06
Th (0.0000, 0.0000, 0.5000) (multiplicity 4)  8 Ir 3.06
Ir (0.2500, 0.2500, 0.2500) (multiplicity 8)  4 Th 3.06, 4 Eu 3.06

Results
Relative energy among the computed polymorphs   15 kJ/mol of formula units
ΔE_f   -0.57 eV/atom
M_tot   6.527 μB per formula unit

=====

Record 6
# NiAsC

NiAsC after structural relaxation (GGA-PBE, the Alexandria database).

Cell: 4.9638 2.8669 5.7538 Å, 90.00 106.41 90.00°
With the nearest neighbours (Å) after each atom.
Space group Cm (No. 8)
Inequivalent atoms, fractional coordinates:
Ni (0.0000, 0.0000, 0.0000) (multiplicity 2)  3 C 1.86
As (0.3372, 0.5000, 0.5203) (multiplicity 2)  1 C 2.03
C (0.2168, 0.5000, 0.1526) (multiplicity 2)  3 Ni 1.86, 1 As 2.03

Results
Relative energy among the computed polymorphs   29 kJ/mol of formula units
ΔE_f   0.68 eV/atom
M_tot   0.000 μB per formula unit

=====

Record 7
# Tm3Ni20P6

Tm3Ni20P6 after structural relaxation (GGA-PBE, the Alexandria database).

Cell: 11.2720 11.2720 11.2720 Å, 90.00 90.00 90.00°
With the nearest neighbours (Å) after each atom.
Space group Fm-3m (No. 225)
Inequivalent atoms, fractional coordinates:
Tm (0.0000, 0.0000, 0.0000) (multiplicity 4)  12 Ni 2.81, 6 P 2.95
Tm (0.2500, 0.2500, 0.2500) (multiplicity 8)  4 Ni 2.67
Ni (0.0000, 0.1760, 0.1760) (multiplicity 48)  2 P 2.21, 1 Ni 2.36
Ni (0.1131, 0.1131, 0.3869) (multiplicity 32)  3 P 2.29, 3 Ni 2.55
P (0.0000, 0.0000, 0.2621) (multiplicity 24)  8 Ni 2.21-2.29

Results
ΔE_f   -0.60 eV/atom
M_tot   0.000 μB per formula unit

=====

Record 8
# ThZnCdCu

ThZnCdCu after structural relaxation (GGA-PBE, the Alexandria database).

Cell: 6.9136 6.9136 6.9136 Å, 90.00 90.00 90.00°
With the nearest neighbours (Å) after each atom.
Space group F-43m (No. 216)
Inequivalent atoms, fractional coordinates:
Th (0.0000, 0.0000, 0.0000) (multiplicity 4)  4 Cu 2.99, 4 Zn 2.99
Zn (0.2500, 0.2500, 0.7500) (multiplicity 4)  4 Th 2.99, 4 Cd 2.99
Cd (0.0000, 0.0000, 0.5000) (multiplicity 4)  4 Cu 2.99, 4 Zn 2.99
Cu (0.2500, 0.2500, 0.2500) (multiplicity 4)  4 Cd 2.99, 4 Th 2.99

Results
ΔE_f   -0.17 eV/atom
M_tot   0.000 μB per formula unit